Record 1
GGA-PBE ZrCoAgSb, relaxed; energy = -5.61 eV/atom; E above lowest polymorph = 0.0534 eV/atom
1.0
0.000 3.313 3.313
3.313 0.000 3.313
3.313 3.313 0.000
Ag Co Sb Zr
1 1 1 1
direct
0.500 0.500 0.500
0.750 0.750 0.750
0.000 0.000 0.000
0.250 0.250 0.250

=====

Record 2
GGA-PBE CdTePbO, relaxed; energy = -3.72 eV/atom; E above lowest polymorph = 0.1343 eV/atom
1.0
7.343 -1.944 0.000
7.343 1.944 0.000
0.000 0.000 7.170
Cd O Pb Te
2 2 2 2
direct
0.672 0.672 0.460
0.328 0.328 0.960
0.901 0.901 0.034
0.099 0.099 0.534
0.958 0.958 0.345
0.042 0.042 0.845
0.672 0.672 0.053
0.328 0.328 0.553

=====

Copy entry 2 word for word.
GGA-PBE CdTePbO, relaxed; energy = -3.72 eV/atom; E above lowest polymorph = 0.1343 eV/atom
1.0
7.343 -1.944 0.000
7.343 1.944 0.000
0.000 0.000 7.170
Cd O Pb Te
2 2 2 2
direct
0.672 0.672 0.460
0.328 0.328 0.960
0.901 0.901 0.034
0.099 0.099 0.534
0.958 0.958 0.345
0.042 0.042 0.845
0.672 0.672 0.053
0.328 0.328 0.553